Record 1
The following is a PBE-GGA calculation of a geometry-optimized FeTcOs2 structure, from Alexandria.

The structure in POSCAR format:
```
FeTcOs2
1.0
0.000 3.045 3.045
3.045 0.000 3.045
3.045 3.045 0.000
Fe Tc Os
1 1 2
direct
0.000 0.000 0.000
0.250 0.250 0.250
0.500 0.500 0.500
0.750 0.750 0.750
```

Values from the calculation:
ρ   15710 kg/m³
Total DFT energy (no corrections)   -9.90 eV/atom
N(E_F)   6.76 states/eV/f.u.
Energy of formation from the pure elements   0.42 eV per atom
Symmetry   F-43m

---

Record 2
The following is a PBE-GGA calculation of a geometry-optimized Fe2TcOs2 structure, from Alexandria.

The structure in POSCAR format:
```
Fe2TcOs2
1.0
7.127 0.000 0.000
0.000 7.127 0.000
0.000 0.000 2.630
Fe Tc Os
4 2 4
direct
0.169 0.331 0.000
0.331 0.831 0.000
0.669 0.169 0.000
0.831 0.669 0.000
0.000 0.000 0.500
0.500 0.500 0.500
0.127 0.627 0.500
0.373 0.127 0.500
0.627 0.873 0.500
0.873 0.373 0.500
```

Values from the calculation:
ρ   14673 kg/m³
Total DFT energy (no corrections)   -9.63 eV/atom
N(E_F)   6.80 states/eV/f.u.
Energy of formation from the pure elements   0.32 eV per atom
Symmetry   P4/mbm

---

Record 3
The following is a PBE-GGA calculation of a geometry-optimized FeTcOs2 structure, from Alexandria.

The structure in POSCAR format:
```
FeTcOs2
1.0
1.352 0.781 8.771
-1.352 0.781 8.771
0.000 -1.561 8.771
Fe Tc Os
1 1 2
direct
0.000 0.000 0.000
0.500 0.500 0.500
0.252 0.252 0.252
0.748 0.748 0.748
```

Values from the calculation:
ρ   15971 kg/m³
Total DFT energy (no corrections)   -10.20 eV/atom
N(E_F)   4.56 states/eV/f.u.
Energy of formation from the pure elements   0.12 eV per atom
Symmetry   R-3m

---

Record 4
The following is a PBE-GGA calculation of a geometry-optimized Fe2TcOs structure, from Alexandria.

The structure in POSCAR format:
```
Fe2TcOs
1.0
4.373 -1.321 0.000
4.373 1.321 0.000
-0.780 0.000 4.452
Fe Tc Os
2 1 1
direct
0.000 0.000 0.000
0.747 0.747 0.237
0.498 0.498 0.490
0.254 0.254 0.754
```

Values from the calculation:
ρ   12906 kg/m³
Total DFT energy (no corrections)   -9.50 eV/atom
N(E_F)   4.96 states/eV/f.u.
Energy of formation from the pure elements   0.13 eV per atom
Symmetry   Cm

---

Record 5
The following is a PBE-GGA calculation of a geometry-optimized Fe2TcOs structure, from Alexandria.

The structure in POSCAR format:
```
Fe2TcOs
1.0
1.326 0.766 8.506
-1.326 0.766 8.506
0.000 -1.532 8.506
Fe Tc Os
2 1 1
direct
0.250 0.250 0.250
0.750 0.750 0.750
0.000 0.000 0.000
0.500 0.500 0.500
```

Values from the calculation:
ρ   12810 kg/m³
Total DFT energy (no corrections)   -9.46 eV/atom
N(E_F)   4.14 states/eV/f.u.
Energy of formation from the pure elements   0.17 eV per atom
Symmetry   R-3m

---

Record 6
The following is a PBE-GGA calculation of a geometry-optimized FeTcOs2 structure, from Alexandria.

The structure in POSCAR format:
```
FeTcOs2
1.0
-1.416 2.184 4.518
1.416 -2.184 4.518
1.416 2.184 -4.518
Fe Tc Os
1 1 2
direct
0.000 0.000 0.000
0.500 0.500 0.000
0.224 0.724 0.500
0.776 0.276 0.500
```

Values from the calculation:
ρ   15871 kg/m³
Total DFT energy (no corrections)   -10.06 eV/atom
N(E_F)   3.45 states/eV/f.u.
Energy of formation from the pure elements   0.26 eV per atom
Symmetry   Immm

---

- The highest total DFT energy (no corrections) belongs to which entry?
  number 5

---

- Look up the N(E_F) of the fifth one.
  4.14 states/eV/f.u.

---

- What is the formula in the fourth record?
  Fe2TcOs

---

- Among the records above, which one has the highest energy of formation from the pure elements?
  number 1